DFT (GGA+U) results for a relaxed structure of In2FeO4.

Lattice parameters (Å, degrees): 6.4705 6.4705 6.4022 60.34 60.34 91.20
With the nearest neighbours (Å) after each atom.
Sites, in units of the cell vectors:
1 In 0.5000 0.5000 0.5000  6 O 2.21-2.22
2 In 0.5000 0.0000 0.5000  6 O 2.21-2.22
3 In 0.0000 0.0000 0.0000  6 O 2.21-2.22
4 In 0.5000 0.0000 0.0000  6 O 2.21-2.22
5 Fe 0.8750 0.6250 0.7500  4 O 2.09
6 Fe 0.1250 0.3750 0.2500  4 O 2.09
7 O 0.2519 0.7727 0.9877  1 Fe 2.09, 3 In 2.21-2.22
8 O 0.7481 0.2273 0.0123  1 Fe 2.09, 3 In 2.21-2.22
9 O 0.2727 0.7519 0.4877  1 Fe 2.09, 3 In 2.21-2.22
10 O 0.2604 0.2397 0.5123  1 Fe 2.09, 3 In 2.21-2.22
11 O 0.2603 0.2396 0.9877  1 Fe 2.09, 3 In 2.21-2.22
12 O 0.7396 0.7603 0.4877  1 Fe 2.09, 3 In 2.21-2.22
13 O 0.7273 0.2481 0.5123  1 Fe 2.09, 3 In 2.21-2.22
14 O 0.7397 0.7604 0.0123  1 Fe 2.09, 3 In 2.21-2.22

VASP energy in Ry/atom: -0.435
Space group: I4_1/amd (141)
Density in g/cm3: 6.1